HfAg2I | PBE-GGA | relaxed

Computed properties:
For the excess energy over the best structure of this formula in the dataset, the calculation gives 0.0 meV per atom. The formation energy (no corrections) comes out at -0.068 eV per atom. The total magnetization comes out at 0.00 μB/cell. The total DFT energy (no corrections) is -0.32118 Ry/atom.

a = 8.2499 Å, b = 8.2499 Å, c = 6.1453 Å
α = 100.68°, β = 100.68°, γ = 27.74°
Closest atoms and distances in Å follow each position.
Fractional positions:
1 Hf 0.0000 0.0000 0.0000  5 Ag 2.91-2.99, 3 I 2.94-3.05, 2 Hf 3.03-3.12
2 Hf 0.0019 0.0019 0.5084  5 Ag 2.89-2.97, 3 I 2.96-3.07, 2 Hf 3.03-3.12
3 Ag 0.1884 0.1884 0.1055  6 Ag 2.85-3.16, 1 Hf 2.96, 2 I 3.12
4 Ag 0.1898 0.1898 0.5920  6 Ag 2.85-3.16, 1 Hf 2.96, 1 I 3.12
5 Ag 0.5920 0.5920 0.3001  4 Hf 2.89-2.91, 6 Ag 2.90-3.09
6 Ag 0.6054 0.6054 0.8057  6 Ag 2.85-3.09, 4 Hf 2.97-2.99
7 I 0.3880 0.3880 0.6977  4 Hf 3.05-3.07, 1 Ag 3.12
8 I 0.8415 0.8415 0.1763  2 Hf 2.94-2.96, 2 Ag 3.12